[1]
The following is a DFT calculation (PBE) of an optimized crystal structure of SrZrPO.

abc: 4.348 4.835 7.369
angles: 90.00 90.00 90.00
Element x y z (fractional)
O: 0.000 0.672 0.435
O: 0.000 0.328 0.935
P: 0.500 0.174 0.287
P: 0.500 0.826 0.787
Sr: 0.000 0.830 0.089
Sr: 0.000 0.170 0.589
Zr: 0.500 0.670 0.443
Zr: 0.500 0.330 0.943

polymorph energy (0 for the lowest one) = 0.0000 eV per atom
DFT total energy = -55.6 eV per cell
magnetization = 0.01 μB per cell
theoretical density = 4.84 g/cm3
crystal system = orthorhombic

[2]
The following is a DFT calculation (PBE) of an optimized crystal structure of ReBr3Cl2.

abc: 6.529 7.036 9.485
angles: 109.60 90.66 116.01
Each line ends with the local moment (μB).
Element x y z (fractional)
Br: 0.303 0.997 0.238  0.01
Br: 0.434 0.570 0.333  0.08
Br: 0.925 0.184 0.428  0.07
Br: 0.075 0.816 0.572  0.07
Br: 0.566 0.430 0.667  0.08
Br: 0.697 0.003 0.762  0.01
Cl: 0.772 0.826 0.042  0.02
Cl: 0.891 0.361 0.143  0.04
Cl: 0.109 0.639 0.857  0.04
Cl: 0.228 0.174 0.958  0.02
Re: 0.098 0.203 0.207  1.54
Re: 0.902 0.797 0.793  1.54

polymorph energy (0 for the lowest one) = 0.0008 eV per atom
DFT total energy = -46.6 eV per cell
magnetization = 3.99 μB per cell
theoretical density = 4.55 g/cm3
crystal system = triclinic

[3]
The following is a DFT calculation (PBE) of an optimized crystal structure of CdH2.

abc: 4.821 4.821 4.821
angles: 37.86 37.86 37.86
Element x y z (fractional)
Cd: 0.000 0.000 0.000
H: 0.256 0.256 0.256
H: 0.744 0.744 0.744

DFT total energy = -6.4 eV per cell
theoretical density = 5.02 g/cm3
crystal system = trigonal

[4]
The following is a DFT calculation (PBE) of an optimized crystal structure of Zr3TlTc2.

abc: 3.364 3.364 10.400
angles: 90.00 90.00 90.00
Element x y z (fractional)
Tc: 0.000 0.000 0.160
Tc: 0.000 0.000 0.840
Tl: 0.000 0.000 0.500
Zr: 0.500 0.500 0.000
Zr: 0.500 0.500 0.304
Zr: 0.500 0.500 0.696

DFT total energy = -50.5 eV per cell
magnetization = 0.02 μB per cell
theoretical density = 9.51 g/cm3
crystal system = tetragonal

[5]
The following is a DFT calculation (PBE) of an optimized crystal structure of TbTmAl4Ni2.

abc: 6.887 5.463 5.463
angles: 43.59 90.00 90.00
Element x y z (fractional)
Al: 0.303 0.156 0.156
Al: 0.697 0.156 0.156
Al: 0.194 0.843 0.843
Al: 0.806 0.843 0.843
Ni: 0.000 0.285 0.285
Ni: 0.500 0.716 0.716
Tb: 0.500 0.439 0.439
Tm: 0.000 0.561 0.561

DFT total energy = -40.4 eV per cell
magnetization = 0.00 μB per cell
theoretical density = 6.48 g/cm3
crystal system = orthorhombic

[6]
The following is a DFT calculation (PBE) of an optimized crystal structure of BeReHg2.

abc: 4.566 4.566 4.566
angles: 60.00 60.00 60.00
Each line ends with the local moment (μB).
Element x y z (fractional)
Be: 0.500 0.500 0.500  -0.02
Hg: 0.000 0.000 0.000  -0.01
Hg: 0.750 0.750 0.750  0.00
Re: 0.250 0.250 0.250  0.56

DFT total energy = -12.4 eV per cell
magnetization = 0.57 μB per cell
theoretical density = 14.71 g/cm3
crystal system = cubic